Entry 1:
Computed, not measured: Cs4Rb2P after structural relaxation at the PBE level of DFT.

## Properties
Energy relative to the lowest polymorph listed for this composition: 0 meV per atom
Volume: 540.9 Å³ per cell
Total moment: 0.000 μB per atom
Uncorrected energy: -11.2 eV for the cell shown

Cell: 6.4013 9.5871 10.1549 Å, 112.58 108.37 90.00°
Atoms (fractional coordinates):
Cs1 0.1227 0.7998 0.2454
Cs2 0.8773 0.2002 0.7546
Cs3 0.4700 0.7797 0.9401
Cs4 0.5300 0.2203 0.0599
Rb1 0.1807 0.2830 0.3615
Rb2 0.8193 0.7170 0.6385
P1 0.0000 0.0000 0.0000



Entry 2:
Computed, not measured: CsRb2P2 after structural relaxation at the PBE level of DFT.

## Properties
Volume: 398.2 Å³ per cell
Total moment: 0.211 μB per atom
Uncorrected energy: -29.7 eV for the cell shown

Cell: 6.5692 7.3260 9.4953 Å, 101.49 90.00 116.64°
Site moments in Bohr magnetons follow the coordinates.
Atoms (fractional coordinates):
Cs1 0.8710 0.0000 0.2500  0.02
Cs2 0.1290 0.0000 0.7500  0.02
Rb1 0.5118 0.3274 0.1518  0.01
Rb2 0.1844 0.6726 0.3482  0.01
Rb3 0.4882 0.6726 0.8482  0.01
Rb4 0.8156 0.3274 0.6518  0.01
P1 0.6484 0.6472 0.4975  0.17
P2 0.0012 0.3528 0.0025  0.17
P3 0.3516 0.3528 0.5025  0.17
P4 0.9988 0.6472 0.9975  0.17



Entry 3:
Computed, not measured: Cs8Rb6P after structural relaxation at the PBE level of DFT.

## Properties
Volume: 1437.6 Å³ per cell
Total moment: 0.000 μB per atom
Uncorrected energy: -18.8 eV for the cell shown

Cell: 11.7657 11.7657 11.7657 Å, 72.31 72.31 72.31°
Atoms (fractional coordinates):
Cs1 0.1009 0.7036 0.9701
Cs2 0.0299 0.8991 0.2964
Cs3 0.2964 0.0299 0.8991
Cs4 0.7418 0.7418 0.7418
Cs5 0.2582 0.2582 0.2582
Cs6 0.7036 0.9701 0.1009
Cs7 0.9701 0.1009 0.7036
Cs8 0.8991 0.2964 0.0299
Rb1 0.1840 0.4865 0.5946
Rb2 0.4054 0.8160 0.5135
Rb3 0.5135 0.4054 0.8160
Rb4 0.4865 0.5946 0.1840
Rb5 0.5946 0.1840 0.4865
Rb6 0.8160 0.5135 0.4054
P1 0.0000 0.0000 0.0000



Entry 4:
Computed, not measured: Cs2Rb2P after structural relaxation at the PBE level of DFT.

## Properties
Energy relative to the lowest polymorph listed for this composition: 49 meV per atom
Volume: 643.1 Å³ per cell
Total moment: 0.194 μB per atom
Uncorrected energy: -16.8 eV for the cell shown

Cell: 9.1858 9.1858 7.6212 Å, 90.00 90.00 90.00°
Site moments in Bohr magnetons follow the coordinates.
Atoms (fractional coordinates):
Cs1 0.3419 0.8419 0.0000  0.02
Cs2 0.8419 0.6581 0.0000  0.01
Cs3 0.6581 0.1581 0.0000  0.02
Cs4 0.1581 0.3419 0.0000  0.01
P1 0.0000 0.0000 0.0000  0.20
P2 0.5000 0.5000 0.0000  0.20
Rb1 0.1996 0.6996 0.5000  0.01
Rb2 0.6996 0.8004 0.5000  0.01
Rb3 0.8004 0.3004 0.5000  0.01
Rb4 0.3004 0.1996 0.5000  0.01



Entry 5:
Computed, not measured: Cs2RbP2 after structural relaxation at the PBE level of DFT.

## Properties
Energy relative to the lowest polymorph listed for this composition: 0 meV per atom
Volume: 412.8 Å³ per cell
Total moment: 0.207 μB per atom
Uncorrected energy: -29.7 eV for the cell shown

Cell: 7.3447 7.1152 9.4042 Å, 99.66 90.00 121.07°
Site moments in Bohr magnetons follow the coordinates.
Atoms (fractional coordinates):
Cs1 0.5115 0.2995 0.1410  0.01
Cs2 0.2121 0.7005 0.3590  0.01
Cs3 0.4885 0.7005 0.8590  0.01
Cs4 0.7879 0.2995 0.6410  0.01
Rb1 0.9232 0.0000 0.2500  0.02
Rb2 0.0768 0.0000 0.7500  0.02
P1 0.6456 0.6535 0.4911  0.17
P2 0.9920 0.3465 0.0089  0.17
P3 0.3544 0.3465 0.5089  0.17
P4 0.0080 0.6535 0.9911  0.17



Entry 6:
Computed, not measured: Cs3RbP after structural relaxation at the PBE level of DFT.

## Properties
Energy relative to the lowest polymorph listed for this composition: 713 meV per atom
Volume: 561.9 Å³ per cell
Total moment: 0.200 μB per atom
Uncorrected energy: -5.3 eV for the cell shown

Cell: 8.2521 8.2521 8.2521 Å, 90.00 90.00 90.00°
Site moments in Bohr magnetons follow the coordinates.
Atoms (fractional coordinates):
Cs1 0.0000 0.5000 0.0000  -0.01
Cs2 0.0000 0.0000 0.5000  -0.01
Cs3 0.5000 0.0000 0.0000  -0.02
P1 0.5000 0.5000 0.5000  0.69
Rb1 0.0000 0.0000 0.0000  -0.01



Entry 7:
Computed, not measured: CsRbP2 after structural relaxation at the PBE level of DFT.

## Properties
Volume: 138.6 Å³ per cell
Total moment: 0.000 μB per atom
Uncorrected energy: -10.4 eV for the cell shown

Cell: 5.8089 5.8089 5.8089 Å, 60.00 60.00 60.00°
Atoms (fractional coordinates):
Cs1 0.5000 0.5000 0.5000
P1 0.2500 0.2500 0.2500
P2 0.7500 0.7500 0.7500
Rb1 0.0000 0.0000 0.0000



Entry 8:
Computed, not measured: Cs2RbP after structural relaxation at the PBE level of DFT.

## Properties
Volume: 388.9 Å³ per cell
Total moment: 0.000 μB per atom
Uncorrected energy: -14.9 eV for the cell shown

Cell: 5.6584 5.6584 12.7900 Å, 77.22 77.22 90.00°
Atoms (fractional coordinates):
Cs1 0.5993 0.1250 0.2500
Cs2 0.1507 0.6250 0.2500
Cs3 0.3750 0.4007 0.7500
Cs4 0.8750 0.8493 0.7500
P1 0.5000 0.5000 0.0000
P2 0.2500 0.7500 0.5000
Rb1 0.0000 0.0000 0.0000
Rb2 0.7500 0.2500 0.5000



Entry 9:
Computed, not measured: Cs4Rb2P after structural relaxation at the PBE level of DFT.

## Properties
Energy relative to the lowest polymorph listed for this composition: 37 meV per atom
Volume: 670.3 Å³ per cell
Total moment: 0.049 μB per atom
Uncorrected energy: -10.9 eV for the cell shown

Cell: 6.9735 6.9735 14.6387 Å, 76.22 76.22 90.00°
Site moments in Bohr magnetons follow the coordinates.
Atoms (fractional coordinates):
Cs1 0.8779 0.8779 0.2442  0.00
Cs2 0.1221 0.1221 0.7558  0.00
Cs3 0.0000 0.5000 0.0000  0.01
Cs4 0.5000 0.0000 0.0000  0.01
P1 0.0000 0.0000 0.0000  0.11
Rb1 0.7025 0.7025 0.5951  0.00
Rb2 0.2975 0.2975 0.4049  0.00



Entry 10:
Computed, not measured: Cs2RbP2 after structural relaxation at the PBE level of DFT.

## Properties
Energy relative to the lowest polymorph listed for this composition: 12 meV per atom
Volume: 197.4 Å³ per cell
Total moment: 0.206 μB per atom
Uncorrected energy: -14.8 eV for the cell shown

Cell: 5.4609 6.7951 6.7952 Å, 62.47 66.30 66.30°
Site moments in Bohr magnetons follow the coordinates.
Atoms (fractional coordinates):
Cs1 0.2948 0.2052 0.7052  0.02
Cs2 0.7052 0.7948 0.2948  0.02
Rb1 0.5000 0.5000 0.0000  0.01
P1 0.0000 0.1543 0.3457  0.16
P2 0.0000 0.8457 0.6543  0.16



Entry 11:
Computed, not measured: Cs2Rb4P after structural relaxation at the PBE level of DFT.

## Properties
Volume: 627.9 Å³ per cell
Total moment: 0.000 μB per atom
Uncorrected energy: -11.3 eV for the cell shown

Cell: 6.7395 6.7395 14.6229 Å, 76.68 76.68 90.00°
Atoms (fractional coordinates):
Cs1 0.6965 0.6965 0.6069
Cs2 0.3035 0.3035 0.3931
P1 0.0000 0.0000 0.0000
Rb1 0.8840 0.8840 0.2320
Rb2 0.1160 0.1160 0.7680
Rb3 0.0000 0.5000 0.0000
Rb4 0.5000 0.0000 0.0000



Entry 12:
Computed, not measured: CsRbPS2 after structural relaxation at the PBE level of DFT.

## Properties
E_form (uncorrected): 566 meV/atom
Energy relative to the lowest polymorph listed for this composition: 958 meV per atom
Volume: 244.1 Å³ per cell
Total moment: 1.001 μB per atom
Uncorrected energy: -12.7 eV for the cell shown

Cell: 6.1670 6.1670 6.4177 Å, 90.00 90.00 90.00°
Site moments in Bohr magnetons follow the coordinates.
Atoms (fractional coordinates):
Cs1 0.5000 0.5000 0.5000  0.01
P1 0.0000 0.0000 0.5000  1.09
S1 0.0000 0.5000 0.0000  0.67
S2 0.5000 0.0000 0.0000  0.67
Rb1 0.0000 0.0000 0.0000  0.06